No. 1
Entry from OQMD via LeMat-Bulk: a relaxed TbSn crystal (PBE).

a b c (Å): 4.400 4.400 4.400
angles (deg): 60.00 60.00 60.00
Fractional positions:
Tb 0.000 0.000 0.000
Sn 0.500 0.500 0.500

Calculated values
Total DFT energy (no corrections) ... -9.7 eV for the cell shown
Space-group type ... Fm-3m

---

No. 2
Entry from OQMD via LeMat-Bulk: a relaxed TbSnTe crystal (PBE).

a b c (Å): 5.155 5.155 5.155
angles (deg): 60.00 60.00 60.00
Fractional positions:
Tb 0.000 0.000 0.000
Sn 0.500 0.500 0.500
Te 0.250 0.250 0.250

Calculated values
Total DFT energy (no corrections) ... -12.8 eV for the cell shown
Space-group type ... F-43m

---

No. 3
Entry from OQMD via LeMat-Bulk: a relaxed Tb3SnTe2 crystal (PBE).

a b c (Å): 7.614 7.614 7.609
angles (deg): 99.67 99.67 119.90
Fractional positions:
Tb 0.000 0.500 0.000
Tb 0.158 0.316 0.498
Tb 0.316 0.158 0.998
Tb 0.500 0.000 0.500
Tb 0.684 0.842 0.002
Tb 0.842 0.684 0.502
Sn 0.087 0.913 0.250
Sn 0.913 0.087 0.750
Te 0.254 0.746 0.750
Te 0.418 0.582 0.250
Te 0.582 0.418 0.750
Te 0.746 0.254 0.250

Calculated values
Total DFT energy (no corrections) ... -62.7 eV for the cell shown
Space-group type ... C2/c

---

No. 4
Entry from OQMD via LeMat-Bulk: a relaxed TbTlSnTe3 crystal (PBE).

a b c (Å): 8.306 8.306 12.404
angles (deg): 90.00 90.00 149.53
Fractional positions:
Tb 0.000 0.000 0.000
Tb 0.000 0.000 0.500
Tl 0.291 0.709 0.750
Tl 0.709 0.291 0.250
Sn 0.379 0.621 0.250
Sn 0.621 0.379 0.750
Te 0.007 0.993 0.250
Te 0.365 0.635 0.502
Te 0.365 0.635 0.998
Te 0.635 0.365 0.002
Te 0.635 0.365 0.498
Te 0.993 0.007 0.750

Calculated values
Total DFT energy (no corrections) ... -48.7 eV for the cell shown
Space-group type ... Cmcm

---

No. 5
Entry from OQMD via LeMat-Bulk: a relaxed TbTmSnTe3 crystal (PBE).

a b c (Å): 7.929 7.929 11.792
angles (deg): 90.00 90.00 147.80
Fractional positions:
Tb 0.000 0.000 0.000
Tb 0.000 0.000 0.500
Tm 0.474 0.526 0.750
Tm 0.526 0.474 0.250
Sn 0.189 0.811 0.250
Sn 0.811 0.189 0.750
Te 0.103 0.897 0.750
Te 0.359 0.641 0.545
Te 0.359 0.641 0.955
Te 0.641 0.359 0.045
Te 0.641 0.359 0.455
Te 0.897 0.103 0.250

Calculated values
Total DFT energy (no corrections) ... -55.1 eV for the cell shown
Space-group type ... Cmcm

---

No. 6
Entry from OQMD via LeMat-Bulk: a relaxed TbZnSnTe3 crystal (PBE).

a b c (Å): 7.607 7.607 11.250
angles (deg): 90.00 90.00 146.81
Fractional positions:
Tb 0.000 0.000 0.000
Tb 0.000 0.000 0.500
Zn 0.475 0.525 0.750
Zn 0.525 0.475 0.250
Sn 0.208 0.792 0.250
Sn 0.792 0.208 0.750
Te 0.093 0.907 0.750
Te 0.355 0.645 0.558
Te 0.355 0.645 0.942
Te 0.645 0.355 0.058
Te 0.645 0.355 0.442
Te 0.907 0.093 0.250

Calculated values
Total DFT energy (no corrections) ... -46.3 eV for the cell shown
Space-group type ... Cmcm

---

No. 7
Entry from OQMD via LeMat-Bulk: a relaxed TbTmSn crystal (PBE).

a b c (Å): 5.103 5.103 5.103
angles (deg): 60.00 60.00 60.00
Fractional positions:
Tb 0.000 0.000 0.000
Tm 0.500 0.500 0.500
Sn 0.250 0.250 0.250

Calculated values
Total DFT energy (no corrections) ... -14.2 eV for the cell shown
Space-group type ... F-43m

---

No. 8
Entry from OQMD via LeMat-Bulk: a relaxed Tb3Tm2Sn3 crystal (PBE).

a b c (Å): 8.938 8.938 6.508
angles (deg): 90.00 90.00 120.00
Fractional positions:
Tb 0.000 0.239 0.250
Tb 0.000 0.761 0.750
Tb 0.239 0.000 0.250
Tb 0.239 0.239 0.750
Tb 0.761 0.000 0.750
Tb 0.761 0.761 0.250
Tm 0.333 0.667 0.000
Tm 0.333 0.667 0.500
Tm 0.667 0.333 0.000
Tm 0.667 0.333 0.500
Sn 0.000 0.397 0.750
Sn 0.000 0.603 0.250
Sn 0.397 0.000 0.750
Sn 0.397 0.397 0.250
Sn 0.603 0.000 0.250
Sn 0.603 0.603 0.750

Calculated values
Total DFT energy (no corrections) ... -81.3 eV for the cell shown
Space-group type ... P6_3/mcm

---

No. 9
Entry from OQMD via LeMat-Bulk: a relaxed TbTmSn2 crystal (PBE).

a b c (Å): 3.327 6.871 6.871
angles (deg): 53.53 90.00 90.00
Fractional positions:
Tb 0.000 0.000 0.000
Tm 0.000 0.720 0.720
Sn 0.000 0.247 0.247
Sn 0.000 0.477 0.477

Calculated values
Total DFT energy (no corrections) ... -16.7 eV for the cell shown
Space-group type ... Amm2

---

No. 10
Entry from OQMD via LeMat-Bulk: a relaxed TbTmZn2Sn2 crystal (PBE).

a b c (Å): 4.504 4.504 15.689
angles (deg): 90.00 90.00 120.00
Fractional positions:
Tb 0.000 0.000 0.250
Tb 0.000 0.000 0.750
Tm 0.000 0.000 0.000
Tm 0.000 0.000 0.500
Zn 0.333 0.667 0.159
Zn 0.333 0.667 0.341
Zn 0.667 0.333 0.659
Zn 0.667 0.333 0.841
Sn 0.333 0.667 0.612
Sn 0.333 0.667 0.888
Sn 0.667 0.333 0.112
Sn 0.667 0.333 0.388

Calculated values
Total DFT energy (no corrections) ... -46.0 eV for the cell shown
Space-group type ... P6_3/mmc

---

No. 11
Entry from OQMD via LeMat-Bulk: a relaxed TbTmZn2Sn2 crystal (PBE).

a b c (Å): 4.491 4.491 15.767
angles (deg): 90.00 90.00 120.00
Fractional positions:
Tb 0.000 0.000 0.000
Tb 0.000 0.000 0.500
Tm 0.000 0.000 0.250
Tm 0.000 0.000 0.750
Zn 0.333 0.667 0.162
Zn 0.333 0.667 0.338
Zn 0.667 0.333 0.662
Zn 0.667 0.333 0.838
Sn 0.333 0.667 0.615
Sn 0.333 0.667 0.885
Sn 0.667 0.333 0.115
Sn 0.667 0.333 0.385

Calculated values
Total DFT energy (no corrections) ... -46.1 eV for the cell shown
Space-group type ... P6_3/mmc

---

No. 12
Entry from OQMD via LeMat-Bulk: a relaxed Tb2YSn7 crystal (PBE).

a b c (Å): 13.443 13.443 4.465
angles (deg): 90.00 90.00 161.13
Fractional positions:
Tb 0.189 0.811 0.000
Tb 0.811 0.189 0.000
Y 0.500 0.500 0.500
Sn 0.000 0.000 0.000
Sn 0.097 0.903 0.500
Sn 0.289 0.711 0.500
Sn 0.404 0.596 0.000
Sn 0.596 0.404 0.000
Sn 0.711 0.289 0.500
Sn 0.903 0.097 0.500

Calculated values
Total DFT energy (no corrections) ... -49.2 eV for the cell shown
Space-group type ... Cmmm

---

- Among the records above, which one has the highest total DFT energy (no corrections)?
  TbSn

---

- Among the records above, which one has the highest total DFT energy (no corrections)?
  TbSn

---

- Among the records above, which one has the highest total DFT energy (no corrections)?
  TbSn

---

- Among the records above, which one has the highest total DFT energy (no corrections)?
  TbSn